# 1
Pm4Cd5Ir2 | PBE-GGA | relaxed

The theoretical density is 8.9 g/cm3. For the energy of formation from the pure elements, the calculation gives -453 meV per atom.

It has space group P2/m (No. 10), with a = 7.778 Å, b = 3.774 Å, c = 9.720 Å, α = 90.00°, β = 94.36° and γ = 90.00°. Symmetry generates all atoms from Pm at (0.170, 0.000, 0.350), Pm at (0.218, 0.000, 0.946), Cd at (0.186, 0.500, 0.653), Cd at (0.453, 0.500, 0.177), Cd at (0.500, 0.500, 0.500) and Ir at (0.073, 0.500, 0.143).

***

# 2
Pm3CdIr | PBE-GGA | relaxed

The energy above the most stable polymorph in this dataset comes out at 0.96 eV per formula unit. The theoretical density is 7.3 g/cm3. For the energy of formation from the pure elements, the calculation gives -250 meV per atom.

It has space group Pm-3m (No. 221), with a = 5.519 Å, b = 5.519 Å, c = 5.519 Å, α = 90.00°, β = 90.00° and γ = 90.00°. Symmetry generates all atoms from Pm at (0.000, 0.000, 0.500), Cd at (0.500, 0.500, 0.500) and Ir at (0.000, 0.000, 0.000).

***

# 3
Pm6CdIr2 | PBE-GGA | relaxed

The energy above the most stable polymorph in this dataset comes out at 0.67 eV per formula unit. The theoretical density is 8.4 g/cm3. For the energy of formation from the pure elements, the calculation gives -393 meV per atom.

It has space group C2/m (No. 12), with a = 12.375 Å, b = 3.842 Å, c = 11.367 Å, α = 90.00°, β = 91.12° and γ = 90.00°. Symmetry generates all atoms from Pm at (0.065, 0.000, 0.275), Pm at (0.139, 0.500, 0.552), Pm at (0.180, 0.500, 0.866), Cd at (0.000, 0.000, 0.000) and Ir at (0.240, 0.500, 0.312).

***

# 4
Pm11Cd9Ir4 | PBE-GGA | relaxed

The theoretical density is 9.0 g/cm3. For the energy of formation from the pure elements, the calculation gives -487 meV per atom.

It has space group Cmmm (No. 65), with a = 14.724 Å, b = 22.118 Å, c = 3.819 Å, α = 90.00°, β = 90.00° and γ = 90.00°. Symmetry generates all atoms from Pm at (0.000, 0.000, 0.000), Pm at (0.000, 0.163, 0.000), Pm at (0.000, 0.373, 0.000), Pm at (0.192, 0.500, 0.000), Pm at (0.249, 0.167, 0.000), Cd at (0.000, 0.500, 0.500), Cd at (0.104, 0.262, 0.500), Cd at (0.143, 0.071, 0.500) and Ir at (0.149, 0.400, 0.500).

***

# 5
Pm6CdIr3 | PBE-GGA | relaxed

The energy above the most stable polymorph in this dataset comes out at 0.00 eV per formula unit. The theoretical density is 8.9 g/cm3. For the energy of formation from the pure elements, the calculation gives -528 meV per atom.

It has space group P2_1/m (No. 11), with a = 11.968 Å, b = 4.285 Å, c = 12.033 Å, α = 90.00°, β = 108.70° and γ = 90.00°. Symmetry generates all atoms from Pm at (0.039, 0.250, 0.407), Pm at (0.112, 0.250, 0.965), Pm at (0.196, 0.750, 0.269), Pm at (0.257, 0.750, 0.780), Pm at (0.359, 0.250, 0.555), Pm at (0.438, 0.750, 0.096), Cd at (0.427, 0.250, 0.303), Ir at (0.029, 0.250, 0.170), Ir at (0.191, 0.750, 0.516) and Ir at (0.339, 0.250, 0.937).

***

# 6
Pm6Cd2Ir | PBE-GGA | relaxed

The energy above the most stable polymorph in this dataset comes out at 1.05 eV per formula unit. The theoretical density is 7.3 g/cm3. For the energy of formation from the pure elements, the calculation gives -123 meV per atom.

It has space group C2/m (No. 12), with a = 15.951 Å, b = 7.245 Å, c = 5.362 Å, α = 90.00°, β = 109.47° and γ = 90.00°. Symmetry generates all atoms from Pm at (0.000, 0.228, 0.000), Pm at (0.153, 0.245, 0.651), Cd at (0.168, 0.500, 0.167) and Ir at (0.000, 0.000, 0.500).

***

# 7
Pm4CdIr | PBE-GGA | relaxed

The energy above the most stable polymorph in this dataset comes out at 0.00 eV per formula unit. The theoretical density is 8.6 g/cm3. For the energy of formation from the pure elements, the calculation gives -462 meV per atom.

It has space group F-43m (No. 216), with a = 13.980 Å, b = 13.980 Å, c = 13.980 Å, α = 90.00°, β = 90.00° and γ = 90.00°. Symmetry generates all atoms from Pm at (0.000, 0.000, 0.189), Pm at (0.060, 0.250, 0.750), Pm at (0.099, 0.099, 0.401), Cd at (0.170, 0.170, 0.170) and Ir at (0.108, 0.108, 0.608).

***

# 8
Pm3CdIr | PBE-GGA | relaxed

The energy above the most stable polymorph in this dataset comes out at 0.26 eV per formula unit. The theoretical density is 7.9 g/cm3. For the energy of formation from the pure elements, the calculation gives -391 meV per atom.

It has space group Cmmm (No. 65), with a = 10.383 Å, b = 14.734 Å, c = 4.070 Å, α = 90.00°, β = 90.00° and γ = 90.00°. Symmetry generates all atoms from Pm at (0.000, 0.180, 0.000), Pm at (0.199, 0.377, 0.500), Cd at (0.000, 0.000, 0.500), Cd at (0.000, 0.500, 0.000) and Ir at (0.250, 0.250, 0.000).

***

# 9
Pm2CdIr2 | PBE-GGA | relaxed

The energy above the most stable polymorph in this dataset comes out at 0.05 eV per formula unit. The theoretical density is 11.4 g/cm3. For the energy of formation from the pure elements, the calculation gives -598 meV per atom.

It has space group C2/c (No. 15), with a = 10.290 Å, b = 5.571 Å, c = 8.426 Å, α = 90.00°, β = 108.17° and γ = 90.00°. Symmetry generates all atoms from Pm at (0.145, 0.160, 0.147), Cd at (0.000, 0.345, 0.750) and Ir at (0.143, 0.342, 0.518).

***

# 10
PmPrCdIr | PBE-GGA | relaxed

The theoretical density is 9.8 g/cm3. For the energy of formation from the pure elements, the calculation gives -412 meV per atom.

It has space group F-43m (No. 216), with a = 7.365 Å, b = 7.365 Å, c = 7.365 Å, α = 90.00°, β = 90.00° and γ = 90.00°. Symmetry generates all atoms from Pm at (0.000, 0.000, 0.000), Pr at (0.000, 0.000, 0.500), Cd at (0.250, 0.250, 0.750) and Ir at (0.250, 0.250, 0.250).

***

# 11
Pm5Cd2IrRh2 | PBE-GGA | relaxed

The theoretical density is 8.8 g/cm3. For the energy of formation from the pure elements, the calculation gives -514 meV per atom.

It has space group P4/mbm (No. 127), with a = 11.772 Å, b = 11.772 Å, c = 3.682 Å, α = 90.00°, β = 90.00° and γ = 90.00°. Symmetry generates all atoms from Pm at (0.000, 0.500, 0.000), Pm at (0.071, 0.194, 0.000), Cd at (0.178, 0.678, 0.500), Ir at (0.000, 0.000, 0.500) and Rh at (0.134, 0.366, 0.500).

***

# 12
PmCdIrRh | PBE-GGA | relaxed

The theoretical density is 11.9 g/cm3. For the energy of formation from the pure elements, the calculation gives -317 meV per atom.

It has space group F-43m (No. 216), with a = 6.754 Å, b = 6.754 Å, c = 6.754 Å, α = 90.00°, β = 90.00° and γ = 90.00°. Symmetry generates all atoms from Pm at (0.000, 0.000, 0.000), Cd at (0.000, 0.000, 0.500), Ir at (0.250, 0.250, 0.250) and Rh at (0.250, 0.250, 0.750).

***

- Which of these has the highest theoretical density?
  PmCdIrRh

***

- Look up the energy of formation from the pure elements of the fourth one.
  -487 meV per atom